AgMo | GGA-PBE | relaxed

The structure in POSCAR format:
```
AgMo
1.0
4.313 0.000 0.000
-2.156 3.735 0.000
0.000 0.000 9.128
Ag Mo
4 4
Direct
0.333 0.667 0.069
0.333 0.667 0.431
0.667 0.333 0.569
0.667 0.333 0.931
0.000 0.000 0.250
0.000 0.000 0.750
0.333 0.667 0.750
0.667 0.333 0.250
```

Properties
Size of the total moment in μB/f.u.: 0.000
DFT total energy in eV per atom: -6.040
Space group: P6_3/mmc
Polymorph energy (0 for the lowest one) in eV per atom: 0.537
DOS(E_F) in states/eV/atom: 0.772
Energy of formation in eV/f.u.: 1.6
ρ in g cm⁻³: 9.21